No. 1
# PBE-GGA ScAsPt2, optimized geometry
# * DFT formation energy: -0.785 eV per atom
# * magnetization: 0.00 μB/cell
# * DFT total energy: -6.55 eV/atom
data_ScAsPt2
_cell_length_a 4.016
_cell_length_b 4.016
_cell_length_c 4.155
_cell_angle_alpha 90.00
_cell_angle_beta 90.00
_cell_angle_gamma 90.00
_space_group_name_H-M_alt 'P 4/m m m'
_space_group_IT_number 123
_space_group_name_Hall '-P 4 2'
loop_
_atom_site_label
_atom_site_fract_x
_atom_site_fract_y
_atom_site_fract_z
Sc1 0.000 0.000 0.000
As1 0.500 0.500 0.000
Pt1 0.000 0.500 0.500


No. 2
# PBE-GGA InTeS, optimized geometry
# * magnetization: 0.00 μB/cell
# * raw formation energy: -219.0 meV/atom
# * ΔE to the lowest computed polymorph: 117.4 meV per atom
# * DFT total energy: -3.55 eV/atom
data_InTeS
_cell_length_a 7.537
_cell_length_b 6.732
_cell_length_c 6.922
_cell_angle_alpha 90.00
_cell_angle_beta 93.28
_cell_angle_gamma 90.00
_space_group_name_H-M_alt 'P 1 21/c 1'
_space_group_IT_number 14
loop_
_space_group_symop_operation_xyz
'x,y,z'
'-x,-y,-z'
'-x,y+1/2,-z+1/2'
'x,-y+1/2,z+1/2'
loop_
_atom_site_label
_atom_site_fract_x
_atom_site_fract_y
_atom_site_fract_z
In1 0.111 0.243 0.002
Te1 0.472 0.168 0.884
S1 0.093 0.562 0.763


No. 3
# PBE-GGA CuW2Br, optimized geometry
# * magnetization: 0.00 μB/cell
# * raw formation energy: 632.6 meV/atom
# * ΔE to the lowest computed polymorph: 105.7 meV per atom
# * DFT total energy: -7.29 eV/atom
data_CuW2Br
_cell_length_a 3.241
_cell_length_b 4.921
_cell_length_c 8.718
_cell_angle_alpha 90.00
_cell_angle_beta 90.00
_cell_angle_gamma 90.00
_space_group_name_H-M_alt 'C m m 2'
_space_group_IT_number 35
loop_
_space_group_symop_operation_xyz
'x,y,z'
'-x,-y,z'
'-x,y,z'
'x,-y,z'
'x+1/2,y+1/2,z'
'-x+1/2,-y+1/2,z'
'-x+1/2,y+1/2,z'
'x+1/2,-y+1/2,z'
loop_
_atom_site_label
_atom_site_fract_x
_atom_site_fract_y
_atom_site_fract_z
Cu1 0.000 0.000 0.000
W1 0.000 0.000 0.461
W2 0.000 0.500 0.234
Br1 0.000 0.500 0.736


No. 4
# PBE-GGA HfIn2GeMo, optimized geometry
# * DFT formation energy: 1.255 eV per atom
# * magnetization: 1.84 μB/cell
# * DFT total energy: -4.92 eV/atom
data_HfIn2GeMo
_cell_length_a 5.553
_cell_length_b 5.553
_cell_length_c 4.815
_cell_angle_alpha 90.00
_cell_angle_beta 90.00
_cell_angle_gamma 90.00
_space_group_name_H-M_alt 'P 4/m m m'
_space_group_IT_number 123
_space_group_name_Hall '-P 4 2'
loop_
_atom_site_label
_atom_site_fract_x
_atom_site_fract_y
_atom_site_fract_z
Hf1 0.000 0.000 0.000
In1 0.000 0.500 0.000
Ge1 0.500 0.500 0.500
Mo1 0.000 0.000 0.500


No. 5
# PBE-GGA InAsBr2, optimized geometry
# * magnetization: 0.00 μB/cell
# * raw formation energy: -29.0 meV/atom
# * ΔE to the lowest computed polymorph: 293.8 meV per atom
# * DFT total energy: -2.71 eV/atom
data_InAsBr2
_cell_length_a 3.570
_cell_length_b 3.570
_cell_length_c 8.948
_cell_angle_alpha 90.00
_cell_angle_beta 90.00
_cell_angle_gamma 90.00
_space_group_name_H-M_alt 'P 4 m m'
_space_group_IT_number 99
loop_
_space_group_symop_operation_xyz
'x,y,z'
'-y,x,z'
'-x,-y,z'
'y,-x,z'
'-x,y,z'
'y,x,z'
'x,-y,z'
'-y,-x,z'
loop_
_atom_site_label
_atom_site_fract_x
_atom_site_fract_y
_atom_site_fract_z
In1 0.000 0.000 0.000
As1 0.500 0.500 0.205
Br1 0.000 0.000 0.385
Br2 0.500 0.500 0.803


No. 6
# PBE-GGA NaTlIn2Ir, optimized geometry
# * DFT formation energy: -0.036 eV per atom
# * magnetization: 0.00 μB/cell
# * ΔE to the lowest computed polymorph: 0.0 meV per atom
# * DFT total energy: -3.64 eV/atom
data_NaTlIn2Ir
_cell_length_a 5.214
_cell_length_b 5.214
_cell_length_c 5.318
_cell_angle_alpha 90.00
_cell_angle_beta 90.00
_cell_angle_gamma 90.00
_space_group_name_H-M_alt 'P 4/m m m'
_space_group_IT_number 123
_space_group_name_Hall '-P 4 2'
loop_
_atom_site_label
_atom_site_fract_x
_atom_site_fract_y
_atom_site_fract_z
Na1 0.000 0.000 0.000
Tl1 0.500 0.500 0.000
In1 0.000 0.500 0.500
Ir1 0.500 0.500 0.500


No. 7
# PBE-GGA Y4TlBiH, optimized geometry
# * magnetization: 1.15 μB/cell
# * DFT total energy: -5.59 eV/atom
data_Y4TlBiH
_cell_length_a 6.468
_cell_length_b 16.970
_cell_length_c 6.496
_cell_angle_alpha 90.00
_cell_angle_beta 90.00
_cell_angle_gamma 90.00
_space_group_name_H-M_alt 'C m c m'
_space_group_IT_number 63
_space_group_name_Hall '-C 2c 2'
loop_
_atom_site_label
_atom_site_fract_x
_atom_site_fract_y
_atom_site_fract_z
Y1 0.000 0.070 0.250
Y2 0.000 0.424 0.250
Y3 0.250 0.250 0.000
Tl1 0.000 0.114 0.750
Bi1 0.000 0.389 0.750
H1 0.000 0.289 0.250


No. 8
# PBE-GGA Ac4PmSn3, optimized geometry
# * DFT formation energy: -0.489 eV per atom
# * magnetization: 0.27 μB/cell
# * DFT total energy: -4.64 eV/atom
data_Ac4PmSn3
_cell_length_a 4.759
_cell_length_b 4.882
_cell_length_c 12.842
_cell_angle_alpha 90.00
_cell_angle_beta 90.00
_cell_angle_gamma 90.00
_space_group_name_H-M_alt 'P m m 2'
_space_group_IT_number 25
loop_
_space_group_symop_operation_xyz
'x,y,z'
'-x,-y,z'
'-x,y,z'
'x,-y,z'
loop_
_atom_site_label
_atom_site_fract_x
_atom_site_fract_y
_atom_site_fract_z
Ac1 0.000 0.000 0.000
Ac2 0.000 0.500 0.481
Ac3 0.500 0.000 0.700
Ac4 0.500 0.500 0.212
Pm1 0.000 0.500 0.783
Sn1 0.000 0.000 0.267
Sn2 0.500 0.000 0.423
Sn3 0.500 0.500 0.939


No. 9
# PBE-GGA Mg2NiOs, optimized geometry
# * DFT formation energy: 0.156 eV per atom
# * magnetization: 0.00 μB/cell
# * ΔE to the lowest computed polymorph: 107.3 meV per atom
# * DFT total energy: -4.89 eV/atom
data_Mg2NiOs
_cell_length_a 2.687
_cell_length_b 4.004
_cell_length_c 5.568
_cell_angle_alpha 90.00
_cell_angle_beta 90.00
_cell_angle_gamma 90.00
_space_group_name_H-M_alt 'P m m m'
_space_group_IT_number 47
loop_
_space_group_symop_operation_xyz
'x,y,z'
'-x,-y,-z'
'-x,-y,z'
'x,y,-z'
'x,-y,-z'
'-x,y,z'
'-x,y,-z'
'x,-y,z'
loop_
_atom_site_label
_atom_site_fract_x
_atom_site_fract_y
_atom_site_fract_z
Mg1 0.000 0.000 0.248
Ni1 0.500 0.500 0.000
Os1 0.500 0.500 0.500


No. 10
# PBE-GGA Li4Zn2Cu, optimized geometry
# * DFT formation energy: -0.047 eV per atom
# * magnetization: 0.00 μB/cell
# * DFT total energy: -2.09 eV/atom
data_Li4Zn2Cu
_cell_length_a 13.237
_cell_length_b 2.699
_cell_length_c 6.835
_cell_angle_alpha 90.00
_cell_angle_beta 117.46
_cell_angle_gamma 90.00
_space_group_name_H-M_alt 'C 1 2/m 1'
_space_group_IT_number 12
loop_
_space_group_symop_operation_xyz
'x,y,z'
'-x,-y,-z'
'-x,y,-z'
'x,-y,z'
'x+1/2,y+1/2,z'
'-x+1/2,-y+1/2,-z'
'-x+1/2,y+1/2,-z'
'x+1/2,-y+1/2,z'
loop_
_atom_site_label
_atom_site_fract_x
_atom_site_fract_y
_atom_site_fract_z
Li1 0.083 0.000 0.219
Li2 0.138 0.500 0.887
Zn1 0.217 0.000 0.642
Cu1 0.000 0.000 0.500


No. 11
# PBE-GGA CeSc2PaP4, optimized geometry
# * DFT formation energy: -1.438 eV per atom
# * magnetization: 0.32 μB/cell
# * DFT total energy: -7.65 eV/atom
data_CeSc2PaP4
_cell_length_a 6.676
_cell_length_b 3.912
_cell_length_c 6.783
_cell_angle_alpha 90.00
_cell_angle_beta 109.72
_cell_angle_gamma 90.00
_space_group_name_H-M_alt 'P 1 2/m 1'
_space_group_IT_number 10
loop_
_space_group_symop_operation_xyz
'x,y,z'
'-x,-y,-z'
'-x,y,-z'
'x,-y,z'
loop_
_atom_site_label
_atom_site_fract_x
_atom_site_fract_y
_atom_site_fract_z
Ce1 0.000 0.000 0.000
Sc1 0.500 0.000 0.500
Sc2 0.500 0.500 0.000
Pa1 0.000 0.500 0.500
P1 0.265 0.000 0.751
P2 0.266 0.500 0.260


No. 12
# PBE-GGA MgSi4Rh, optimized geometry
# * magnetization: 0.00 μB/cell
# * raw formation energy: 226.4 meV/atom
# * DFT total energy: -4.88 eV/atom
data_MgSi4Rh
_cell_length_a 7.139
_cell_length_b 7.139
_cell_length_c 7.139
_cell_angle_alpha 90.00
_cell_angle_beta 90.00
_cell_angle_gamma 90.00
_space_group_name_H-M_alt 'F -4 3 m'
_space_group_IT_number 216
_space_group_name_Hall 'F -4 2 3'
loop_
_atom_site_label
_atom_site_fract_x
_atom_site_fract_y
_atom_site_fract_z
Mg1 0.000 0.000 0.000
Si1 0.125 0.125 0.625
Rh1 0.250 0.250 0.250


No. 13
# PBE-GGA InIrNF2, optimized geometry
# * magnetization: 2.14 μB/cell
# * raw formation energy: 317.5 meV/atom
# * ΔE to the lowest computed polymorph: 819.9 meV per atom
# * DFT total energy: -4.42 eV/atom
data_InIrNF2
_cell_length_a 4.087
_cell_length_b 4.087
_cell_length_c 4.504
_cell_angle_alpha 90.00
_cell_angle_beta 90.00
_cell_angle_gamma 90.00
_space_group_name_H-M_alt 'P 4/m m m'
_space_group_IT_number 123
_space_group_name_Hall '-P 4 2'
loop_
_atom_site_label
_atom_site_fract_x
_atom_site_fract_y
_atom_site_fract_z
In1 0.000 0.000 0.000
Ir1 0.500 0.500 0.500
N1 0.000 0.000 0.500
F1 0.000 0.500 0.000


No. 14
# PBE-GGA K2LiPbBr5, optimized geometry
# * magnetization: 0.00 μB/cell
# * raw formation energy: -1431.5 meV/atom
# * DFT total energy: -3.23 eV/atom
data_K2LiPbBr5
_cell_length_a 4.485
_cell_length_b 19.004
_cell_length_c 14.503
_cell_angle_alpha 90.00
_cell_angle_beta 90.00
_cell_angle_gamma 90.00
_space_group_name_H-M_alt 'C m c 21'
_space_group_IT_number 36
loop_
_space_group_symop_operation_xyz
'x,y,z'
'-x,-y,z+1/2'
'-x,y,z'
'x,-y,z+1/2'
'x+1/2,y+1/2,z'
'-x+1/2,-y+1/2,z+1/2'
'-x+1/2,y+1/2,z'
'x+1/2,-y+1/2,z+1/2'
loop_
_atom_site_label
_atom_site_fract_x
_atom_site_fract_y
_atom_site_fract_z
K1 0.000 0.096 0.000
K2 0.000 0.125 0.662
Li1 0.000 0.446 0.758
Pb1 0.000 0.204 0.364
Br1 0.000 0.042 0.344
Br2 0.000 0.282 0.010
Br3 0.000 0.309 0.720
Br4 0.000 0.358 0.337
Br5 0.000 0.497 0.104


No. 15
# PBE-GGA Ba2Tc2N5, optimized geometry
# * magnetization: 0.00 μB/cell
# * raw formation energy: -423.3 meV/atom
# * DFT total energy: -7.78 eV/atom
data_Ba2Tc2N5
_cell_length_a 5.865
_cell_length_b 6.794
_cell_length_c 9.005
_cell_angle_alpha 99.59
_cell_angle_beta 108.75
_cell_angle_gamma 90.55
_space_group_name_H-M_alt 'P 1'
_space_group_IT_number 1
loop_
_space_group_symop_operation_xyz
'x,y,z'
loop_
_atom_site_label
_atom_site_fract_x
_atom_site_fract_y
_atom_site_fract_z
Ba1 0.000 0.000 0.000
Ba2 0.226 0.193 0.444
Ba3 0.486 0.485 0.990
Ba4 0.772 0.669 0.516
Tc1 0.134 0.634 0.253
Tc2 0.382 0.973 0.801
Tc3 0.622 0.989 0.227
Tc4 0.808 0.203 0.656
N1 0.082 0.397 0.119
N2 0.145 0.152 0.726
N3 0.231 0.589 0.451
N4 0.253 0.737 0.783
N5 0.375 0.794 0.223
N6 0.537 0.077 0.033
N7 0.633 0.004 0.706
N8 0.725 0.174 0.416
N9 0.745 0.439 0.733
N10 0.848 0.777 0.221


No. 16
# PBE-GGA Sr2In6Ag, optimized geometry
# * DFT formation energy: -0.320 eV per atom
# * magnetization: 0.00 μB/cell
# * ΔE to the lowest computed polymorph: 0.0 meV per atom
# * DFT total energy: -2.84 eV/atom
data_Sr2In6Ag
_cell_length_a 6.6608
_cell_length_b 6.6608
_cell_length_c 6.5260
_cell_angle_alpha 90.00
_cell_angle_beta 90.00
_cell_angle_gamma 120.00
_space_group_name_H-M_alt 'P -3 m 1'
_space_group_IT_number 164
_space_group_name_Hall '-P 3 2"'
loop_
_atom_site_label
_atom_site_fract_x
_atom_site_fract_y
_atom_site_fract_z
Sr1 0.3333 0.6667 0.1469
In1 0.1742 0.3483 0.6766
Ag1 0.0000 0.0000 0.0000


No. 17
# PBE-GGA Sn2Sb2PdAu7, optimized geometry
# * magnetization: 0.00 μB/cell
# * raw formation energy: -42.5 meV/atom
# * DFT total energy: -3.74 eV/atom
data_Sn2Sb2PdAu7
_cell_length_a 5.788
_cell_length_b 5.788
_cell_length_c 16.787
_cell_angle_alpha 90.00
_cell_angle_beta 99.76
_cell_angle_gamma 90.00
_space_group_name_H-M_alt 'C 1 2/m 1'
_space_group_IT_number 12
loop_
_space_group_symop_operation_xyz
'x,y,z'
'-x,-y,-z'
'-x,y,-z'
'x,-y,z'
'x+1/2,y+1/2,z'
'-x+1/2,-y+1/2,-z'
'-x+1/2,y+1/2,-z'
'x+1/2,-y+1/2,z'
loop_
_atom_site_label
_atom_site_fract_x
_atom_site_fract_y
_atom_site_fract_z
Sn1 0.121 0.000 0.243
Sb1 0.213 0.500 0.428
Pd1 0.000 0.500 0.000
Au1 0.000 0.000 0.000
Au2 0.186 0.250 0.872
Au3 0.202 0.000 0.406


No. 18
# PBE-GGA ZnTc3N, optimized geometry
# * magnetization: 0.00 μB/cell
# * raw formation energy: 253.8 meV/atom
# * ΔE to the lowest computed polymorph: 230.6 meV per atom
# * DFT total energy: -7.89 eV/atom
data_ZnTc3N
_cell_length_a 15.430
_cell_length_b 2.890
_cell_length_c 6.788
_cell_angle_alpha 90.00
_cell_angle_beta 97.92
_cell_angle_gamma 90.00
_space_group_name_H-M_alt 'C 1 2/m 1'
_space_group_IT_number 12
loop_
_space_group_symop_operation_xyz
'x,y,z'
'-x,-y,-z'
'-x,y,-z'
'x,-y,z'
'x+1/2,y+1/2,z'
'-x+1/2,-y+1/2,-z'
'-x+1/2,y+1/2,-z'
'x+1/2,-y+1/2,z'
loop_
_atom_site_label
_atom_site_fract_x
_atom_site_fract_y
_atom_site_fract_z
Zn1 0.116 0.000 0.324
Tc1 0.056 0.000 0.649
Tc2 0.179 0.000 0.999
Tc3 0.211 0.500 0.651
N1 0.111 0.500 0.832


No. 19
# PBE-GGA AuSe3S, optimized geometry
# * magnetization: 0.00 μB/cell
# * raw formation energy: 1004.7 meV/atom
# * ΔE to the lowest computed polymorph: 238.8 meV per atom
# * DFT total energy: -2.57 eV/atom
data_AuSe3S
_cell_length_a 5.057
_cell_length_b 5.057
_cell_length_c 5.057
_cell_angle_alpha 90.00
_cell_angle_beta 90.00
_cell_angle_gamma 90.00
_space_group_name_H-M_alt 'P m -3 m'
_space_group_IT_number 221
_space_group_name_Hall '-P 4 2 3'
loop_
_atom_site_label
_atom_site_fract_x
_atom_site_fract_y
_atom_site_fract_z
Au1 0.000 0.000 0.000
Se1 0.000 0.000 0.500
S1 0.500 0.500 0.500


No. 20
# PBE-GGA Pm3Ga6Ru5, optimized geometry
# * DFT formation energy: -0.446 eV per atom
# * magnetization: 0.00 μB/cell
# * DFT total energy: -6.07 eV/atom
data_Pm3Ga6Ru5
_cell_length_a 4.050
_cell_length_b 12.209
_cell_length_c 10.218
_cell_angle_alpha 90.00
_cell_angle_beta 90.00
_cell_angle_gamma 90.00
_space_group_name_H-M_alt 'P m m n'
_space_group_IT_number 59
loop_
_space_group_symop_operation_xyz
'x,y,z'
'-x,-y,-z'
'-x+1/2,-y+1/2,z'
'x+1/2,y+1/2,-z'
'x+1/2,-y,-z'
'-x+1/2,y,z'
'-x,y+1/2,-z'
'x,-y+1/2,z'
loop_
_atom_site_label
_atom_site_fract_x
_atom_site_fract_y
_atom_site_fract_z
Pm1 0.250 0.062 0.246
Pm2 0.250 0.750 0.257
Ga1 0.250 0.080 0.617
Ga2 0.250 0.250 0.057
Ga3 0.250 0.250 0.440
Ga4 0.250 0.593 0.975
Ru1 0.250 0.107 0.875
Ru2 0.250 0.617 0.526
Ru3 0.250 0.750 0.765


No. 21
# PBE-GGA SmZnPd, optimized geometry
# * DFT formation energy: -0.673 eV per atom
# * magnetization: 0.00 μB/cell
# * DFT total energy: -4.40 eV/atom
data_SmZnPd
_cell_length_a 10.143
_cell_length_b 4.471
_cell_length_c 6.986
_cell_angle_alpha 90.00
_cell_angle_beta 128.48
_cell_angle_gamma 90.00
_space_group_name_H-M_alt 'C 1 2/m 1'
_space_group_IT_number 12
loop_
_space_group_symop_operation_xyz
'x,y,z'
'-x,-y,-z'
'-x,y,-z'
'x,-y,z'
'x+1/2,y+1/2,z'
'-x+1/2,-y+1/2,-z'
'-x+1/2,y+1/2,-z'
'x+1/2,-y+1/2,z'
loop_
_atom_site_label
_atom_site_fract_x
_atom_site_fract_y
_atom_site_fract_z
Sm1 0.050 0.000 0.303
Zn1 0.167 0.500 0.098
Pd1 0.168 0.500 0.709


No. 22
# PBE-GGA TcRuPb2Cl, optimized geometry
# * magnetization: 2.81 μB/cell
# * raw formation energy: 1047.3 meV/atom
# * DFT total energy: -4.73 eV/atom
data_TcRuPb2Cl
_cell_length_a 5.392
_cell_length_b 5.392
_cell_length_c 4.521
_cell_angle_alpha 90.00
_cell_angle_beta 90.00
_cell_angle_gamma 90.00
_space_group_name_H-M_alt 'P 4/m m m'
_space_group_IT_number 123
_space_group_name_Hall '-P 4 2'
loop_
_atom_site_label
_atom_site_fract_x
_atom_site_fract_y
_atom_site_fract_z
Tc1 0.000 0.000 0.000
Ru1 0.500 0.500 0.500
Pb1 0.000 0.500 0.500
Cl1 0.500 0.500 0.000


No. 23
# PBE-GGA AcCd2GaPd4, optimized geometry
# * DFT formation energy: -0.541 eV per atom
# * magnetization: 0.00 μB/cell
# * DFT total energy: -4.26 eV/atom
data_AcCd2GaPd4
_cell_length_a 4.5763
_cell_length_b 4.5763
_cell_length_c 26.6689
_cell_angle_alpha 90.00
_cell_angle_beta 90.00
_cell_angle_gamma 120.00
_space_group_name_H-M_alt 'R -3 m'
_space_group_IT_number 166
_space_group_name_Hall '-R 3 2"'
loop_
_atom_site_label
_atom_site_fract_x
_atom_site_fract_y
_atom_site_fract_z
Ac1 0.0000 0.0000 0.0000
Cd1 0.0000 0.0000 0.2397
Ga1 0.0000 0.0000 0.5000
Pd1 0.0000 0.0000 0.1340
Pd2 0.0000 0.0000 0.4044